Computed, not measured: an optimized crystal structure of AcNdDyHo at the PBE level of DFT.

Computed properties:
- Total magnetic moment: 0.002 μB/cell
- Energy relative to the lowest polymorph listed for this composition: 0.22 eV per formula unit
- ΔE_f: 0.114 eV/atom
- Uncorrected energy: -4.400 eV per atom
- Calculated density: 8.1 Mg/m³

a b c (Å): 5.8645 5.8645 5.8645
angles (deg): 60.00 60.00 60.00
Sites, in units of the cell vectors:
Nd: 0.0000 0.0000 0.0000
Ho: 0.2500 0.2500 0.2500
Ac: 0.5000 0.5000 0.5000
Dy: 0.7500 0.7500 0.7500